Entry from Alexandria via LeMat-Bulk: ScAlMo2 after structural relaxation (PBE).

Cell lengths 2.773, 2.773, 8.899 Å; angles 90.00, 90.00, 100.97 degrees
Element x y z (fractional)
Sc1 0.000 0.000 0.000
Al1 0.000 0.000 0.500
Mo1 0.500 0.500 0.269
Mo2 0.500 0.500 0.731

Computed properties:
raw total energy: -7.93 eV/atom
spin magnetization: 0.000 μB/cell
energy relative to the elements: 0.003 eV per atom